Entry 1:
YMgIrO6 PBE-GGA optimized geometry; space-group type = No. 163; formation energy from raw total energies = -1.731 eV per atom; raw total energy = -124.5 eV for the cell shown; size of the total moment = 3.19 Bohr magnetons per cell
1.0
5.426 0.000 0.000
-2.713 4.699 0.000
0.000 0.000 8.686
Y Mg Ir O
2 2 2 12
Cartesian
0.000 3.133 2.172 Y
2.713 1.566 6.515 Y
0.000 0.000 0.000 Mg
0.000 0.000 4.343 Mg
0.000 3.133 6.515 Ir
2.713 1.566 2.172 Ir
-0.737 1.715 5.428 O
-1.596 3.204 7.602 O
0.737 1.715 7.602 O
-0.859 4.480 5.428 O
1.854 0.220 1.084 O
1.117 1.496 3.259 O
1.596 3.204 5.428 O
0.859 4.480 7.602 O
3.572 0.220 3.259 O
1.976 2.984 1.084 O
4.309 1.496 1.084 O
3.450 2.984 3.259 O


Entry 2:
Mg2ZnIrO6 PBE-GGA optimized geometry; space-group type = No. 146; formation energy from raw total energies = -1.572 eV per atom; raw total energy = -58.8 eV for the cell shown; size of the total moment = 2.89 Bohr magnetons per cell
1.0
2.601 1.502 4.673
-2.601 1.502 4.673
0.000 -3.004 4.673
Mg Zn Ir O
2 1 1 6
Cartesian
0.000 0.000 0.000 Mg
0.000 0.000 6.919 Mg
0.000 0.000 3.881 Zn
0.000 0.000 11.193 Ir
-0.937 -1.378 5.547 O
-1.826 -0.180 7.803 O
-0.725 1.500 5.547 O
1.069 -1.491 7.803 O
1.661 -0.122 5.547 O
0.757 1.671 7.803 O


Entry 3:
MgZrIrO6 PBE-GGA optimized geometry; space-group type = No. 163; formation energy from raw total energies = -1.856 eV per atom; raw total energy = -130.9 eV for the cell shown; size of the total moment = 5.14 Bohr magnetons per cell
1.0
5.263 0.000 0.000
-2.631 4.558 0.000
0.000 0.000 9.057
Mg Zr Ir O
2 2 2 12
Cartesian
0.000 0.000 0.000 Mg
0.000 0.000 4.529 Mg
0.000 3.039 2.264 Zr
2.631 1.519 6.793 Zr
0.000 3.039 6.793 Ir
2.631 1.519 2.264 Ir
-0.817 1.621 5.707 O
-1.637 3.040 7.879 O
0.817 1.621 7.879 O
-0.819 4.456 5.707 O
1.812 0.102 1.179 O
0.995 1.518 3.350 O
1.637 3.040 5.707 O
0.819 4.456 7.879 O
3.451 0.102 3.350 O
1.814 2.937 1.179 O
4.268 1.518 1.179 O
3.449 2.937 3.350 O


Q: Look up the raw total energy of the second one.
A: -58.8 eV for the cell shown


Q: The highest formation energy from raw total energies belongs to which entry?
A: Mg2ZnIrO6


Repeat the second record exactly.
Mg2ZnIrO6 PBE-GGA optimized geometry; space-group type = No. 146; formation energy from raw total energies = -1.572 eV per atom; raw total energy = -58.8 eV for the cell shown; size of the total moment = 2.89 Bohr magnetons per cell
1.0
2.601 1.502 4.673
-2.601 1.502 4.673
0.000 -3.004 4.673
Mg Zn Ir O
2 1 1 6
Cartesian
0.000 0.000 0.000 Mg
0.000 0.000 6.919 Mg
0.000 0.000 3.881 Zn
0.000 0.000 11.193 Ir
-0.937 -1.378 5.547 O
-1.826 -0.180 7.803 O
-0.725 1.500 5.547 O
1.069 -1.491 7.803 O
1.661 -0.122 5.547 O
0.757 1.671 7.803 O